An optimized crystal structure of CeTc4B2. Source: Alexandria via LeMat-Bulk, functional PBE-GGA.

energy relative to the elements: -1.27 eV/f.u.
space group: Cmmm (65)

Cell and atoms, written as CIF:
```
data_CeTc4B2
_chemical_formula_sum 'Ce1 Tc4 B2'
_cell_length_a 3.843
_cell_length_b 3.931
_cell_length_c 6.708
_cell_angle_alpha 107.04
_cell_angle_beta 90.00
_cell_angle_gamma 90.00
_symmetry_space_group_name_H-M 'P 1'
_symmetry_Int_Tables_number 1
loop_
_symmetry_equiv_pos_as_xyz
'x,y,z'
loop_
_atom_site_label
_atom_site_fract_x
_atom_site_fract_y
_atom_site_fract_z
Ce1 0.000 0.000 0.000
Tc1 0.500 0.829 0.659
Tc2 0.000 0.685 0.371
Tc3 0.500 0.171 0.341
Tc4 0.000 0.315 0.629
B1 0.500 0.573 0.145
B2 0.500 0.427 0.855
```